## Pu7SiBr12 (GGA-PBE)

Data for a geometry-optimized Pu7SiBr12 structure.

Lattice parameters (Å, degrees): 9.404 9.404 9.404 107.39 107.39 107.39
Site moments in Bohr magnetons follow the coordinates.
Element x y z (fractional)
Pu 0.968 0.667 0.887  5.50
Pu 0.333 0.113 0.032  5.50
Pu 0.113 0.032 0.333  5.50
Pu 0.500 0.500 0.500  5.61
Pu 0.887 0.968 0.667  5.50
Pu 0.667 0.887 0.968  5.50
Pu 0.032 0.333 0.113  5.50
Si 0.000 0.000 0.000  -0.14
Br 0.924 0.314 0.776  -0.04
Br 0.686 0.224 0.076  -0.04
Br 0.463 0.157 0.382  -0.05
Br 0.843 0.618 0.537  -0.05
Br 0.224 0.076 0.686  -0.04
Br 0.618 0.537 0.843  -0.05
Br 0.382 0.463 0.157  -0.05
Br 0.776 0.924 0.314  -0.04
Br 0.157 0.382 0.463  -0.05
Br 0.537 0.843 0.618  -0.05
Br 0.314 0.776 0.924  -0.04
Br 0.076 0.686 0.224  -0.04

Properties
Fermi-level density of states	3.831	states/eV/atom
total magnetization	2.00	μB per atom
SG	R-3, No. 148


## SmPuBr5 (GGA-PBE)

Data for a geometry-optimized SmPuBr5 structure.

Lattice parameters (Å, degrees): 4.111 8.484 13.806 93.87 90.00 90.00
Site moments in Bohr magnetons follow the coordinates.
Element x y z (fractional)
Sm 0.250 0.419 0.345  0.13
Sm 0.750 0.581 0.655  0.13
Pu 0.750 0.090 0.142  5.57
Pu 0.250 0.910 0.858  5.57
Br 0.250 0.072 0.307  -0.03
Br 0.750 0.148 0.929  -0.04
Br 0.750 0.319 0.482  0.00
Br 0.250 0.351 0.132  -0.03
Br 0.250 0.365 0.709  0.00
Br 0.750 0.635 0.291  0.00
Br 0.750 0.649 0.868  -0.03
Br 0.250 0.681 0.518  0.00
Br 0.250 0.852 0.071  -0.04
Br 0.750 0.928 0.693  -0.03

Properties
Fermi-level density of states	1.687	states/eV/atom
total magnetization	0.86	μB per atom
SG	P2_1/m, No. 11


## Sm2PuBr (GGA-PBE)

Data for a geometry-optimized Sm2PuBr structure.

Lattice parameters (Å, degrees): 3.655 3.655 10.479 79.96 79.96 60.00
Site moments in Bohr magnetons follow the coordinates.
Element x y z (fractional)
Br 0.000 0.000 0.000  0.00
Sm 0.744 0.744 0.768  0.04
Sm 0.256 0.256 0.232  0.04
Pu 0.500 0.500 0.500  5.52

Properties
energy relative to the lowest polymorph listed for this composition	0	meV per atom
Fermi-level density of states	1.912	states/eV/atom
total magnetization	1.54	μB per atom
SG	R-3m, No. 166


## SmPu2Br6 (GGA-PBE)

Data for a geometry-optimized SmPu2Br6 structure.

Lattice parameters (Å, degrees): 4.059 8.256 10.339 109.94 90.00 104.23
Site moments in Bohr magnetons follow the coordinates.
Element x y z (fractional)
Sm 0.000 0.000 0.500  0.33
Pu 0.666 0.333 0.836  5.72
Pu 0.334 0.667 0.164  5.72
Br 0.307 0.614 0.867  -0.04
Br 0.693 0.386 0.133  -0.04
Br 0.977 0.955 0.206  -0.02
Br 0.640 0.279 0.533  -0.01
Br 0.023 0.045 0.794  -0.02
Br 0.360 0.721 0.467  -0.01

Properties
Fermi-level density of states	2.327	states/eV/atom
total magnetization	1.43	μB per atom
SG	C2/m, No. 12


Raw total energy for every record listed, in sequence, given in eV per atom: -7.623 -5.602 -6.822 -6.324.
ΔE_f (raw) for every record listed, in sequence, given in eV per atom: -1.332 -1.685 -0.461 -1.500.